# 1
# GePPtCl2

GePPtCl2 at its PBEsol-relaxed geometry (meta-GGA SCAN, the Alexandria database).

Values from the calculation:
The excess energy over the best structure of this formula in the dataset is 489 meV per atom. Its energy relative to the elements, uncorrected is 0.78 eV/atom. The calculation puts the uncorrected energy at -22.3470 eV per atom. The theoretical density is 6.0 g cm⁻³.

Structure (CIF):
```
data_GePPtCl2
_chemical_formula_sum 'Ge1 P1 Pt1 Cl2'
_space_group_name_H-M_alt 'P 1'
_space_group_IT_number 1
_cell_length_a 4.511
_cell_length_b 4.511
_cell_length_c 5.023
_cell_angle_alpha 90.00
_cell_angle_beta 90.00
_cell_angle_gamma 90.00
loop_
_space_group_symop_operation_xyz
'x,y,z'
loop_
_atom_site_label
_atom_site_type_symbol
_atom_site_fract_x
_atom_site_fract_y
_atom_site_fract_z
Ge1 Ge 0.000 0.000 0.000
P1 P 0.000 0.000 0.500
Pt1 Pt 0.500 0.500 0.500
Cl1 Cl 0.000 0.500 0.000
Cl2 Cl 0.500 0.000 0.000
```

# 2
# Cr2W

Cr2W at its PBEsol-relaxed geometry (meta-GGA SCAN, the Alexandria database).

Values from the calculation:
The excess energy over the best structure of this formula in the dataset is 74 meV per atom. The formation energy is 129 meV/atom. The calculation puts the uncorrected energy at -35.3568 eV per atom. The theoretical density is 12.5 g cm⁻³.

Structure (CIF):
```
data_Cr2W
_chemical_formula_sum 'Cr16 W8'
_space_group_name_H-M_alt 'P 1'
_space_group_IT_number 1
_cell_length_a 4.760
_cell_length_b 4.760
_cell_length_c 15.535
_cell_angle_alpha 90.00
_cell_angle_beta 90.00
_cell_angle_gamma 120.00
loop_
_space_group_symop_operation_xyz
'x,y,z'
loop_
_atom_site_label
_atom_site_type_symbol
_atom_site_fract_x
_atom_site_fract_y
_atom_site_fract_z
Cr1 Cr 0.000 0.500 0.000
Cr2 Cr 0.000 0.500 0.500
Cr3 Cr 0.163 0.327 0.250
Cr4 Cr 0.163 0.837 0.250
Cr5 Cr 0.327 0.163 0.750
Cr6 Cr 0.333 0.667 0.124
Cr7 Cr 0.333 0.667 0.376
Cr8 Cr 0.500 0.000 0.000
Cr9 Cr 0.500 0.000 0.500
Cr10 Cr 0.500 0.500 0.000
Cr11 Cr 0.500 0.500 0.500
Cr12 Cr 0.667 0.333 0.624
Cr13 Cr 0.667 0.333 0.876
Cr14 Cr 0.673 0.837 0.250
Cr15 Cr 0.837 0.163 0.750
Cr16 Cr 0.837 0.673 0.750
W1 W 0.000 0.000 0.096
W2 W 0.000 0.000 0.404
W3 W 0.000 0.000 0.596
W4 W 0.000 0.000 0.904
W5 W 0.333 0.667 0.655
W6 W 0.333 0.667 0.845
W7 W 0.667 0.333 0.155
W8 W 0.667 0.333 0.345
```

# 3
# CrNi3

CrNi3 at its PBEsol-relaxed geometry (meta-GGA SCAN, the Alexandria database).

Values from the calculation:
The formation energy is 104 meV/atom. The calculation puts the uncorrected energy at -16.6219 eV per atom. The theoretical density is 9.0 g cm⁻³.

Structure (CIF):
```
data_CrNi3
_chemical_formula_sum 'Cr1 Ni3'
_space_group_name_H-M_alt 'P 1'
_space_group_IT_number 1
_cell_length_a 8.180
_cell_length_b 8.180
_cell_length_c 8.180
_cell_angle_alpha 17.24
_cell_angle_beta 17.24
_cell_angle_gamma 17.24
loop_
_space_group_symop_operation_xyz
'x,y,z'
loop_
_atom_site_label
_atom_site_type_symbol
_atom_site_fract_x
_atom_site_fract_y
_atom_site_fract_z
Cr1 Cr 0.000 0.000 0.000
Ni1 Ni 0.250 0.250 0.250
Ni2 Ni 0.500 0.500 0.500
Ni3 Ni 0.750 0.750 0.750
```